No. 1
Computed, not measured: a relaxed structure of LaAlPd2 at the PBE level of DFT.

## Properties
Calculated volume = 24.5 Å³/atom
Energy = -5.246 eV/atom

Unit cell a=8.803 b=8.803 c=8.803 alpha=147.50 beta=147.50 gamma=46.63
Element x y z (fractional)
La 0.000 0.000 0.000
La 0.750 0.250 0.500
Al 0.250 0.750 0.500
Al 0.500 0.500 0.000
Pd 0.258 0.625 0.133
Pd 0.375 0.508 0.633
Pd 0.492 0.125 0.867
Pd 0.875 0.742 0.367

No. 2
Computed, not measured: a relaxed structure of La3Al2Pd3 at the PBE level of DFT.

## Properties
Calculated volume = 22.9 Å³/atom
Energy = -5.428 eV/atom

Unit cell a=8.511 b=8.511 c=5.839 alpha=90.00 beta=90.00 gamma=120.00
Element x y z (fractional)
La 0.000 0.270 0.250
La 0.000 0.730 0.750
La 0.270 0.000 0.250
La 0.270 0.270 0.750
La 0.730 0.000 0.750
La 0.730 0.730 0.250
Al 0.333 0.667 0.000
Al 0.333 0.667 0.500
Al 0.667 0.333 0.000
Al 0.667 0.333 0.500
Pd 0.000 0.404 0.750
Pd 0.000 0.596 0.250
Pd 0.404 0.000 0.750
Pd 0.404 0.404 0.250
Pd 0.596 0.000 0.250
Pd 0.596 0.596 0.750

| no. | formation energy (kcal/mol of atoms) |
| --- | --- |
| 1 | -11.1 |
| 2 | -16.1 |